No. 1
The following is a DFT calculation (PBE-GGA) of a relaxed ZrCoP2 crystal.

## Properties
* distance to the lowest polymorph of the same formula: 93 meV per atom
* DFT total energy: -58.00 eV for the cell shown
* magnetic moment: 0.00 μB per cell
* Fermi-level density of states: 6.4 states/eV per cell

CIF file:
```
data_ZrCoP2
_cell_length_a 6.4205
_cell_length_b 6.4205
_cell_length_c 5.4631
_cell_angle_alpha 54.01
_cell_angle_beta 54.01
_cell_angle_gamma 90.00
_symmetry_space_group_name_H-M 'P 1'
_symmetry_Int_Tables_number 1
_symmetry_space_group_name_Hall 'P 1'
loop_
_atom_site_label
_atom_site_fract_x
_atom_site_fract_y
_atom_site_fract_z
_atom_site_occupancy
Co1 0.5000 0.5000 0.0000 1
P1 0.5594 0.1250 0.2500 1
Zr1 0.0000 0.0000 0.0000 1
P2 0.8750 0.8094 0.7500 1
P3 0.1906 0.6250 0.2500 1
Co2 0.2500 0.7500 0.5000 1
Zr2 0.7500 0.2500 0.5000 1
P4 0.3750 0.4406 0.7500 1
```

---

No. 2
The following is a DFT calculation (PBE-GGA) of a relaxed Rb2ZnHF6 crystal.

## Properties
* DFT total energy: -36.73 eV for the cell shown
* magnetic moment: 1.00 μB per cell
* Fermi-level density of states: 13.7 states/eV per cell

CIF file:
```
data_Rb2ZnHF6
_cell_length_a 5.4017
_cell_length_b 5.4017
_cell_length_c 6.3274
_cell_angle_alpha 64.73
_cell_angle_beta 64.73
_cell_angle_gamma 90.00
_symmetry_space_group_name_H-M 'P 1'
_symmetry_Int_Tables_number 1
_symmetry_space_group_name_Hall 'P 1'
loop_
_atom_site_label
_atom_site_fract_x
_atom_site_fract_y
_atom_site_fract_z
_atom_site_occupancy
F1 0.7135 0.2865 0.0000 1
H1 0.5000 0.5000 0.0000 1
F2 0.1881 0.1881 0.6237 1
F3 0.7135 0.7135 0.0000 1
Rb1 0.2500 0.7500 0.5000 1
Rb2 0.7500 0.2500 0.5000 1
F4 0.2865 0.7135 0.0000 1
Zn1 0.0000 0.0000 0.0000 1
F5 0.8119 0.8119 0.3763 1
F6 0.2865 0.2865 0.0000 1
```

---

No. 3
The following is a DFT calculation (PBE-GGA) of a relaxed La3PmEr3S8 crystal.

## Properties
* raw formation energy: -201.4 kJ per mole of atoms
* DFT total energy: -97.54 eV for the cell shown
* magnetic moment: 0.00 μB per cell
* Fermi-level density of states: 7.5 states/eV per cell

CIF file:
```
data_La3PmEr3S8
_cell_length_a 7.9356
_cell_length_b 7.9356
_cell_length_c 8.0888
_cell_angle_alpha 119.38
_cell_angle_beta 90.00
_cell_angle_gamma 120.00
_symmetry_space_group_name_H-M 'P 1'
_symmetry_Int_Tables_number 1
_symmetry_space_group_name_Hall 'P 1'
loop_
_atom_site_label
_atom_site_fract_x
_atom_site_fract_y
_atom_site_fract_z
_atom_site_occupancy
S1 0.7491 0.0159 0.2651 1
La1 0.0000 0.0000 0.0000 1
Er1 0.5000 0.0000 0.5000 1
S2 0.7491 0.4982 0.2651 1
S3 0.2669 0.0160 0.2651 1
S4 0.7423 0.4846 0.7269 1
La2 0.0000 0.5000 0.0000 1
La3 0.5000 0.5000 0.0000 1
Er2 0.5000 0.5000 0.5000 1
S5 0.2509 0.9841 0.7349 1
S6 0.2577 0.5154 0.2731 1
Pm1 0.0000 0.0000 0.5000 1
S7 0.7331 0.9840 0.7349 1
Er3 0.0000 0.5000 0.5000 1
S8 0.2509 0.5018 0.7349 1
```

---

No. 4
The following is a DFT calculation (PBE-GGA) of a relaxed Zr2BeAl crystal.

## Properties
* distance to the lowest polymorph of the same formula: 13 meV per atom
* DFT total energy: -25.48 eV for the cell shown
* magnetic moment: 0.00 μB per cell
* Fermi-level density of states: 4.3 states/eV per cell

CIF file:
```
data_Zr2BeAl
_cell_length_a 3.0572
_cell_length_b 3.0572
_cell_length_c 7.5501
_cell_angle_alpha 90.00
_cell_angle_beta 90.00
_cell_angle_gamma 90.00
_symmetry_space_group_name_H-M 'P 1'
_symmetry_Int_Tables_number 1
_symmetry_space_group_name_Hall 'P 1'
loop_
_atom_site_label
_atom_site_fract_x
_atom_site_fract_y
_atom_site_fract_z
_atom_site_occupancy
Zr1 0.0000 0.0000 0.9783 1
Al1 0.5000 0.5000 0.2500 1
Be1 0.5000 0.5000 0.7500 1
Zr2 0.0000 0.0000 0.5217 1
```

---

No. 5
The following is a DFT calculation (PBE-GGA) of a relaxed Ta5Mo2 crystal.

## Properties
* distance to the lowest polymorph of the same formula: 31 meV per atom
* DFT total energy: -81.68 eV for the cell shown
* magnetic moment: 0.00 μB per cell
* Fermi-level density of states: 9.9 states/eV per cell

CIF file:
```
data_Ta5Mo2
_cell_length_a 7.0672
_cell_length_b 7.0672
_cell_length_c 7.0672
_cell_angle_alpha 38.41
_cell_angle_beta 38.41
_cell_angle_gamma 38.41
_symmetry_space_group_name_H-M 'P 1'
_symmetry_Int_Tables_number 1
_symmetry_space_group_name_Hall 'P 1'
loop_
_atom_site_label
_atom_site_fract_x
_atom_site_fract_y
_atom_site_fract_z
_atom_site_occupancy
Ta1 0.2857 0.2857 0.2857 1
Mo1 0.5706 0.5706 0.5706 1
Ta2 0.4323 0.4323 0.4323 1
Ta3 0.8607 0.8607 0.8607 1
Ta4 0.7108 0.7108 0.7108 1
Ta5 0.1391 0.1391 0.1391 1
Mo2 0.0008 0.0008 0.0008 1
```

---

No. 6
The following is a DFT calculation (PBE-GGA) of a relaxed Ho2Tm3Tl4 crystal.

## Properties
* DFT total energy: -67.19 eV for the cell shown
* magnetic moment: 0.00 μB per cell
* Fermi-level density of states: 11.7 states/eV per cell

CIF file:
```
data_Ho2Tm3Tl4
_cell_length_a 7.0886
_cell_length_b 9.2187
_cell_length_c 8.7066
_cell_angle_alpha 90.00
_cell_angle_beta 114.02
_cell_angle_gamma 90.00
_symmetry_space_group_name_H-M 'P 1'
_symmetry_Int_Tables_number 1
_symmetry_space_group_name_Hall 'P 1'
loop_
_atom_site_label
_atom_site_fract_x
_atom_site_fract_y
_atom_site_fract_z
_atom_site_occupancy
Tl1 0.6907 0.5398 0.3813 1
Tl2 0.7309 0.7500 0.9618 1
Tl3 0.3093 0.4602 0.6187 1
Ho1 0.6110 0.9319 0.2220 1
Tm1 0.5000 0.5000 0.0000 1
Tl4 0.2691 0.2500 0.0382 1
Tm2 0.0396 0.7500 0.5793 1
Ho2 0.8890 0.4319 0.7780 1
Tl5 0.8093 0.0398 0.6187 1
Tl6 0.1907 0.9602 0.3813 1
Tl7 0.2309 0.7500 0.9618 1
Tm3 0.5396 0.7500 0.5793 1
Tm4 0.9604 0.2500 0.4207 1
Tl8 0.7691 0.2500 0.0382 1
Tm5 0.0000 0.0000 0.0000 1
Ho3 0.1110 0.5681 0.2220 1
Ho4 0.3890 0.0681 0.7780 1
Tm6 0.4604 0.2500 0.4207 1
```

---

What is the DFT total energy in the fourth record? -25.48 eV for the cell shown

---

Which value of DFT total energy does entry 5 give? -81.68 eV for the cell shown

---

Copy entry 6 word for word.
The following is a DFT calculation (PBE-GGA) of a relaxed Ho2Tm3Tl4 crystal.

## Properties
* DFT total energy: -67.19 eV for the cell shown
* magnetic moment: 0.00 μB per cell
* Fermi-level density of states: 11.7 states/eV per cell

CIF file:
```
data_Ho2Tm3Tl4
_cell_length_a 7.0886
_cell_length_b 9.2187
_cell_length_c 8.7066
_cell_angle_alpha 90.00
_cell_angle_beta 114.02
_cell_angle_gamma 90.00
_symmetry_space_group_name_H-M 'P 1'
_symmetry_Int_Tables_number 1
_symmetry_space_group_name_Hall 'P 1'
loop_
_atom_site_label
_atom_site_fract_x
_atom_site_fract_y
_atom_site_fract_z
_atom_site_occupancy
Tl1 0.6907 0.5398 0.3813 1
Tl2 0.7309 0.7500 0.9618 1
Tl3 0.3093 0.4602 0.6187 1
Ho1 0.6110 0.9319 0.2220 1
Tm1 0.5000 0.5000 0.0000 1
Tl4 0.2691 0.2500 0.0382 1
Tm2 0.0396 0.7500 0.5793 1
Ho2 0.8890 0.4319 0.7780 1
Tl5 0.8093 0.0398 0.6187 1
Tl6 0.1907 0.9602 0.3813 1
Tl7 0.2309 0.7500 0.9618 1
Tm3 0.5396 0.7500 0.5793 1
Tm4 0.9604 0.2500 0.4207 1
Tl8 0.7691 0.2500 0.0382 1
Tm5 0.0000 0.0000 0.0000 1
Ho3 0.1110 0.5681 0.2220 1
Ho4 0.3890 0.0681 0.7780 1
Tm6 0.4604 0.2500 0.4207 1
```

---

Which formula does entry 6 have? Ho2Tm3Tl4